one.
The following is a PBE calculation of a relaxed structure of BaNb3O, from Alexandria via LeMat-Bulk.

The space group is Pm-3m (No. 221) and the conventional cell measures 5.075, 5.075 and 5.075 Å, with angles of 90.00, 90.00 and 90.00 degrees. The asymmetric unit holds Ba at (0.000, 0.000, 0.000), Nb at (0.000, 0.000, 0.500) and O at (0.500, 0.500, 0.500).


two.
The following is a PBE calculation of a relaxed structure of BaNb3O, from Alexandria via LeMat-Bulk.

The space group is Pm-3m (No. 221) and the conventional cell measures 4.546, 4.546 and 4.546 Å, with angles of 90.00, 90.00 and 90.00 degrees. The asymmetric unit holds Ba at (0.000, 0.000, 0.000), Nb at (0.000, 0.500, 0.500) and O at (0.500, 0.500, 0.500).


The structure with the least stability is one.


one.
The following is a PBE calculation of a relaxed structure of BaNbO2, from Alexandria via LeMat-Bulk.

The space group is R-3m (No. 166, hexagonal axes) and the conventional cell measures 3.5244, 3.5244 and 19.8034 Å, with angles of 90.00, 90.00 and 120.00 degrees. The asymmetric unit holds Ba at (0.0000, 0.0000, 0.0000), Nb at (0.0000, 0.0000, 0.5000) and O at (0.0000, 0.0000, 0.1301).


two.
The following is a PBE calculation of a relaxed structure of BaNbO2, from Alexandria via LeMat-Bulk.

The space group is R-3m (No. 166, hexagonal axes) and the conventional cell measures 3.7817, 3.7817 and 20.2185 Å, with angles of 90.00, 90.00 and 120.00 degrees. The asymmetric unit holds Ba at (0.0000, 0.0000, 0.0000), Nb at (0.0000, 0.0000, 0.5000) and O at (0.0000, 0.0000, 0.4053).


The structure with the least stability is one.


one.
The following is a PBE calculation of a relaxed structure of BaNbO2, from Alexandria via LeMat-Bulk.

The space group is Fm-3m (No. 225) and the conventional cell measures 6.215, 6.215 and 6.215 Å, with angles of 90.00, 90.00 and 90.00 degrees. The asymmetric unit holds Ba at (0.000, 0.000, 0.000), Nb at (0.000, 0.000, 0.500) and O at (0.250, 0.250, 0.250).


two.
The following is a PBE calculation of a relaxed structure of BaNbO2, from Alexandria via LeMat-Bulk.

The space group is I-42d (No. 122) and the conventional cell measures 5.166, 5.166 and 11.860 Å, with angles of 90.00, 90.00 and 90.00 degrees. The asymmetric unit holds Ba at (0.000, 0.000, 0.000), Nb at (0.000, 0.000, 0.500) and O at (0.081, 0.250, 0.625).


The structure with the least stability is one.